A plane-wave DFT calculation with PBE was carried out for a relaxed Ho4TlGaHg2 crystal.

Calculated values
- Fermi-level density of states: 1.028 states/eV/atom
- E_form: -0.46 eV/atom
- Crystal system: trigonal

Cell lengths 5.2228, 5.2228, 25.5985 Å; angles 90.00, 90.00, 120.00 degrees
Space group R-3m (No. 166, hexagonal axes)
One atom of each set of equivalent atoms:
Ho 0.0000 0.0000 0.1204 [6 per cell]
Ho 0.0000 0.0000 0.3709 [6 per cell]
Tl 0.0000 0.0000 0.5000 [3 per cell]
Ga 0.0000 0.0000 0.0000 [3 per cell]
Hg 0.0000 0.0000 0.2485 [6 per cell]

***

A plane-wave DFT calculation with PBE was carried out for a relaxed InNi4As crystal.

Calculated values
- Fermi-level density of states: 0.469 states/eV/atom
- E_form: 0.07 eV/atom
- Crystal system: cubic

Cell lengths 6.885, 6.885, 6.885 Å; angles 90.00, 90.00, 90.00 degrees
Space group F-43m (No. 216)
One atom of each set of equivalent atoms:
In 0.000 0.000 0.000 [4 per cell]
Ni 0.125 0.125 0.625 [16 per cell]
As 0.250 0.250 0.250 [4 per cell]

***

A plane-wave DFT calculation with PBE was carried out for a relaxed La4ZnAg crystal.

Calculated values
- Fermi-level density of states: 1.395 states/eV/atom
- E_form: 0.39 eV/atom
- Crystal system: cubic

Cell lengths 9.100, 9.100, 9.100 Å; angles 90.00, 90.00, 90.00 degrees
Space group F-43m (No. 216)
One atom of each set of equivalent atoms:
La 0.124 0.124 0.124 [16 per cell]
Zn 0.250 0.250 0.750 [4 per cell]
Ag 0.000 0.000 0.500 [4 per cell]

***

A plane-wave DFT calculation with PBE was carried out for a relaxed Ac3Pa crystal.

Calculated values
- Fermi-level density of states: 2.426 states/eV/atom
- E_form: 0.41 eV/atom
- Crystal system: hexagonal

Cell lengths 7.6338, 7.6338, 6.1906 Å; angles 90.00, 90.00, 120.00 degrees
Space group P6_3/mmc (No. 194)
One atom of each set of equivalent atoms:
Ac 0.1720 0.3440 0.2500 [6 per cell]
Pa 0.3333 0.6667 0.7500 [2 per cell]

***

Question: Look up the E_form of the first one.
Answer: -0.46 eV/atom